This record from Alexandria via LeMat-Bulk describes a geometry-optimized LaB3Os structure. The functional is PBE.

- energy above the most stable polymorph in this dataset (meV/atom) = 240
- spin magnetization (μB/atom) = 0.000
- ΔH_f (0 K) (eV per atom) = -0.020

Unit cell a=4.1540 b=4.1540 c=4.1540 alpha=90.00 beta=90.00 gamma=90.00
Sites, in units of the cell vectors:
La 0.0000 0.0000 0.0000
B 0.0000 0.5000 0.5000
B 0.5000 0.0000 0.5000
B 0.5000 0.5000 0.0000
Os 0.5000 0.5000 0.5000